*i*
Here is a geometry-optimized Be2TeO structure from Alexandria. Energies are from PBE.

Crystal system: cubic

a b c (Å): 4.2111 4.2111 4.2111
angles (deg): 60.00 60.00 60.00
Last column: nearest neighbours and their distance in Å.
Positions (direct):
Be 0.2500 0.2500 0.2500  4 O 2.58, 4 Te 2.58
Be 0.7500 0.7500 0.7500  4 O 2.58, 4 Te 2.58
Te 0.5000 0.5000 0.5000  8 Be 2.58
O 0.0000 0.0000 0.0000  8 Be 2.58

=====

*ii*
Here is a geometry-optimized Be2TeO structure from Alexandria. Energies are from PBE.

Crystal system: tetragonal

a b c (Å): 4.7367 4.7367 5.8083
angles (deg): 65.94 65.94 90.00
Last column: nearest neighbours and their distance in Å.
Positions (direct):
Be 0.4946 0.1250 0.2500  2 O 1.77
Be 0.2554 0.6250 0.2500  2 O 1.77
Be 0.3750 0.5054 0.7500  2 O 1.77
Be 0.8750 0.7446 0.7500  2 O 1.77
Te 0.0000 0.0000 0.0000  4 Be 2.46
Te 0.7500 0.2500 0.5000  4 Be 2.46
O 0.5000 0.5000 0.0000  4 Be 1.77
O 0.2500 0.7500 0.5000  4 Be 1.77

=====

Quick one: most stable of them? *ii*

=====

*i*
Here is a geometry-optimized Ti2BeO structure from Alexandria. Energies are from PBE.

Crystal system: cubic

a b c (Å): 4.0507 4.0507 4.0507
angles (deg): 60.00 60.00 60.00
Last column: nearest neighbours and their distance in Å.
Positions (direct):
Be 0.0000 0.0000 0.0000  8 Ti 2.48
O 0.5000 0.5000 0.5000  8 Ti 2.48
Ti 0.2500 0.2500 0.2500  4 O 2.48, 4 Be 2.48
Ti 0.7500 0.7500 0.7500  4 Be 2.48, 4 O 2.48

=====

*ii*
Here is a geometry-optimized Ti2BeO structure from Alexandria. Energies are from PBE.

Crystal system: tetragonal

a b c (Å): 4.9538 4.9538 5.9804
angles (deg): 65.53 65.53 90.00
Last column: nearest neighbours and their distance in Å.
Positions (direct):
Be 0.5000 0.5000 0.0000  4 Ti 2.35
Be 0.2500 0.7500 0.5000  4 Ti 2.35
O 0.0000 0.0000 0.0000  4 Ti 1.95
O 0.7500 0.2500 0.5000  4 Ti 1.95
Ti 0.6948 0.1250 0.2500  2 O 1.95
Ti 0.0552 0.6250 0.2500  2 O 1.95
Ti 0.3750 0.3052 0.7500  2 O 1.95
Ti 0.8750 0.9448 0.7500  2 O 1.95

=====

*iii*
Here is a geometry-optimized Ti2BeO structure from Alexandria. Energies are from PBE.

Crystal system: trigonal

a b c (Å): 2.7359 2.7359 8.0900
angles (deg): 80.27 80.27 60.00
Last column: nearest neighbours and their distance in Å.
Positions (direct):
Be 0.0000 0.0000 0.0000  2 Ti 2.53, 6 Be 2.74
O 0.5000 0.5000 0.5000  6 Ti 2.13
Ti 0.1064 0.1064 0.6809  3 O 2.13
Ti 0.8936 0.8936 0.3191  3 O 2.13

=====

Quick one: most stable of them? *ii*

=====

*i*
Here is a geometry-optimized BeTlO2 structure from Alexandria. Energies are from PBE.

Crystal system: orthorhombic

a b c (Å): 4.9262 5.6980 6.7295
angles (deg): 90.00 90.00 90.00
Last column: nearest neighbours and their distance in Å.
Positions (direct):
Be 0.0004 0.0254 0.8722  4 O 1.65-1.73
Be 0.5004 0.9746 0.1278  4 O 1.65-1.73
Be 0.5004 0.4746 0.3722  4 O 1.65-1.73
Be 0.0004 0.5254 0.6278  4 O 1.65-1.73
Tl 0.9960 0.1092 0.3986  3 O 2.32-2.36
Tl 0.4960 0.8908 0.6014  3 O 2.32-2.36
Tl 0.4960 0.3908 0.8986  3 O 2.32-2.36
Tl 0.9960 0.6092 0.1014  3 O 2.32-2.36
O 0.0837 0.2766 0.7614  2 Be 1.66-1.73
O 0.5837 0.7234 0.2386  2 Be 1.66-1.73
O 0.5837 0.2234 0.2614  2 Be 1.66-1.73
O 0.0837 0.7766 0.7386  2 Be 1.66-1.73
O 0.6698 0.0073 0.9129  2 Be 1.65-1.68
O 0.1698 0.9927 0.0871  2 Be 1.65-1.68
O 0.1698 0.4927 0.4129  2 Be 1.65-1.68
O 0.6698 0.5073 0.5871  2 Be 1.65-1.68

=====

*ii*
Here is a geometry-optimized BeTlO2 structure from Alexandria. Energies are from PBE.

Crystal system: tetragonal

a b c (Å): 4.8510 4.8510 5.3230
angles (deg): 62.89 62.89 90.00
Last column: nearest neighbours and their distance in Å.
Positions (direct):
Be 0.5000 0.5000 0.0000  4 O 1.69
Be 0.2500 0.7500 0.5000  4 O 1.69
Tl 0.0000 0.0000 0.0000  4 O 2.42
Tl 0.7500 0.2500 0.5000  4 O 2.42
O 0.4975 0.1250 0.2500  2 Be 1.69
O 0.2525 0.6250 0.2500  2 Be 1.69
O 0.3750 0.5025 0.7500  2 Be 1.69
O 0.8750 0.7475 0.7500  2 Be 1.69

=====

*iii*
Here is a geometry-optimized BeTlO2 structure from Alexandria. Energies are from PBE.

Crystal system: trigonal

a b c (Å): 6.2987 6.2987 6.2987
angles (deg): 26.81 26.81 26.81
Last column: nearest neighbours and their distance in Å.
Positions (direct):
Be 0.5000 0.5000 0.5000  6 O 1.90
Tl 0.0000 0.0000 0.0000  2 O 2.16
O 0.8812 0.8812 0.8812  3 Be 1.90
O 0.1188 0.1188 0.1188  3 Be 1.90

=====

*iv*
Here is a geometry-optimized BeTlO2 structure from Alexandria. Energies are from PBE.

Crystal system: trigonal

a b c (Å): 5.7957 5.7957 5.7957
angles (deg): 37.40 37.40 37.40
Last column: nearest neighbours and their distance in Å.
Positions (direct):
Be 0.0000 0.0000 0.0000  2 O 1.44
Tl 0.5000 0.5000 0.5000  6 O 2.48
O 0.9108 0.9108 0.9108  1 Be 1.44
O 0.0892 0.0892 0.0892  1 Be 1.44

=====

Quick one: most stable of them? *i*

=====

*i*
Here is a geometry-optimized Be3TlO structure from Alexandria. Energies are from PBE.

Crystal system: cubic

a b c (Å): 4.5185 4.5185 4.5185
angles (deg): 90.00 90.00 90.00
Last column: nearest neighbours and their distance in Å.
Positions (direct):
Be 0.0000 0.5000 0.0000  2 Tl 2.26
Be 0.0000 0.0000 0.5000  2 Tl 2.26
Be 0.5000 0.0000 0.0000  2 Tl 2.26
Tl 0.0000 0.0000 0.0000  6 Be 2.26
O 0.5000 0.5000 0.5000  12 Be 3.20

=====

*ii*
Here is a geometry-optimized Be3TlO structure from Alexandria. Energies are from PBE.

Crystal system: cubic

a b c (Å): 3.8096 3.8096 3.8096
angles (deg): 90.00 90.00 90.00
Last column: nearest neighbours and their distance in Å.
Positions (direct):
Be 0.0000 0.5000 0.0000  2 O 1.90
Be 0.0000 0.0000 0.5000  2 O 1.90
Be 0.5000 0.0000 0.0000  2 O 1.90
Tl 0.5000 0.5000 0.5000  12 Be 2.69
O 0.0000 0.0000 0.0000  6 Be 1.90

=====

Quick one: most stable of them? *ii*